Run one
Density functional theory data (PBE) for YReOF2 after structural relaxation.

a b c (Å): 4.463 4.463 4.450
angles (deg): 90.00 90.00 90.00
Site moments in Bohr magnetons follow the coordinates.
Positions (direct):
Y  0.000  0.000  0.000  -0.01
Re  0.500  0.500  0.500  4.42
O  0.000  0.000  0.500  0.21
F  0.000  0.500  0.000  0.07
F  0.500  0.000  0.000  0.07

Calculated values
The crystal system is tetragonal. The value obtained for the magnetic moment is 5.9 μB per cell. Its volume is 89 Å³/cell.

---

Run two
Density functional theory data (PBE) for YReOF2 after structural relaxation.

a b c (Å): 4.573 4.573 3.742
angles (deg): 90.00 90.00 90.00
Site moments in Bohr magnetons follow the coordinates.
Positions (direct):
Y  0.500  0.500  0.500  0.28
Re  0.000  0.000  0.000  -0.04
O  0.000  0.000  0.500  0.00
F  0.000  0.500  0.000  0.01
F  0.500  0.000  0.000  0.01

Calculated values
The crystal system is tetragonal. The value obtained for the magnetic moment is 0.4 μB per cell. Its volume is 78 Å³/cell.

---

Last place for stability: run two

---

Run one
Density functional theory data (PBE) for ZrReOF2 after structural relaxation.

a b c (Å): 4.482 4.482 3.738
angles (deg): 90.00 90.00 90.00
Site moments in Bohr magnetons follow the coordinates.
Positions (direct):
Re  0.000  0.000  0.000  -0.29
O  0.000  0.000  0.500  0.00
Zr  0.500  0.500  0.500  1.32
F  0.000  0.500  0.000  0.03
F  0.500  0.000  0.000  0.03

Calculated values
The crystal system is tetragonal. The value obtained for the magnetic moment is 1.7 μB per cell. Its volume is 75 Å³/cell.

---

Run two
Density functional theory data (PBE) for ZrReOF2 after structural relaxation.

a b c (Å): 4.438 4.438 4.108
angles (deg): 90.00 90.00 90.00
Site moments in Bohr magnetons follow the coordinates.
Positions (direct):
Re  0.500  0.500  0.500  4.12
O  0.000  0.000  0.500  0.13
Zr  0.000  0.000  0.000  -0.28
F  0.000  0.500  0.000  0.07
F  0.500  0.000  0.000  0.07

Calculated values
The crystal system is tetragonal. The value obtained for the magnetic moment is 5.0 μB per cell. Its volume is 81 Å³/cell.

---

Last place for stability: run one

---

Run one
Density functional theory data (PBE) for RhOF2 after structural relaxation.

a b c (Å): 8.634 8.634 8.634
angles (deg): 18.07 18.07 18.07
Site moments in Bohr magnetons follow the coordinates.
Positions (direct):
Rh  0.000  0.000  0.000  0.88
O  0.500  0.500  0.500  1.73
F  0.926  0.926  0.926  0.22
F  0.074  0.074  0.074  0.22

Calculated values
The crystal system is trigonal. The value obtained for the magnetic moment is 3.5 μB per cell. Its volume is 54 Å³/cell.

---

Run two
Density functional theory data (PBE) for RhOF2 after structural relaxation.

a b c (Å): 7.899 7.899 5.875
angles (deg): 47.76 47.76 90.00
Positions (direct):
Rh  0.000  0.000  0.000
Rh  0.750  0.250  0.500
O  0.500  0.500  0.000
O  0.250  0.750  0.500
F  0.795  0.125  0.250
F  0.955  0.625  0.250
F  0.375  0.205  0.750
F  0.875  0.045  0.750

Calculated values
The crystal system is tetragonal. The value obtained for the magnetic moment is 0.0 μB per cell. Its volume is 114 Å³/cell.

---

Last place for stability: run one

---

Run one
Density functional theory data (PBE) for RhOF2 after structural relaxation.

a b c (Å): 3.308 4.956 8.913
angles (deg): 90.00 90.00 131.87
Site moments in Bohr magnetons follow the coordinates.
Positions (direct):
Rh  0.001  0.750  0.750  0.36
Rh  0.999  0.250  0.250  0.36
O  0.516  0.750  0.250  0.01
O  0.484  0.250  0.750  0.01
F  0.498  0.750  0.610  0.05
F  0.502  0.250  0.390  0.05
F  0.498  0.750  0.890  0.05
F  0.502  0.250  0.110  0.05

Calculated values
The crystal system is orthorhombic. The value obtained for the magnetic moment is 1.0 μB per cell. Its volume is 109 Å³/cell.

---

Run two
Density functional theory data (PBE) for RhOF2 after structural relaxation.

a b c (Å): 3.924 3.924 3.924
angles (deg): 60.00 60.00 60.00
Site moments in Bohr magnetons follow the coordinates.
Positions (direct):
Rh  0.500  0.500  0.500  2.62
O  0.000  0.000  0.000  1.35
F  0.250  0.250  0.250  0.34
F  0.750  0.750  0.750  0.34

Calculated values
The crystal system is cubic. The value obtained for the magnetic moment is 5.0 μB per cell. Its volume is 43 Å³/cell.

---

Last place for stability: run two

---

Run one
Density functional theory data (PBE) for Rh2OF after structural relaxation.

a b c (Å): 4.069 4.069 7.137
angles (deg): 73.44 73.44 90.00
Site moments in Bohr magnetons follow the coordinates.
Positions (direct):
Rh  0.560  0.125  0.250  0.46
Rh  0.190  0.625  0.250  0.46
Rh  0.375  0.440  0.750  0.39
Rh  0.875  0.810  0.750  0.42
O  0.500  0.500  0.000  0.08
O  0.250  0.750  0.500  0.08
F  0.000  0.000  0.000  0.06
F  0.750  0.250  0.500  0.06

Calculated values
The crystal system is tetragonal. The value obtained for the magnetic moment is 2.1 μB per cell. Its volume is 108 Å³/cell.

---

Run two
Density functional theory data (PBE) for Rh2OF after structural relaxation.

a b c (Å): 4.069 4.069 4.069
angles (deg): 60.00 60.00 60.00
Site moments in Bohr magnetons follow the coordinates.
Positions (direct):
Rh  0.250  0.250  0.250  1.97
Rh  0.750  0.750  0.750  1.97
O  0.000  0.000  0.000  0.56
F  0.500  0.500  0.500  0.21

Calculated values
The crystal system is cubic. The value obtained for the magnetic moment is 4.9 μB per cell. Its volume is 48 Å³/cell.

---

Last place for stability: run two

---

Run one
Density functional theory data (PBE) for ScRhOF2 after structural relaxation.

a b c (Å): 4.079 4.079 4.168
angles (deg): 90.00 90.00 90.00
Site moments in Bohr magnetons follow the coordinates.
Positions (direct):
Sc  0.000  0.000  0.000  -0.01
Rh  0.500  0.500  0.500  1.70
O  0.000  0.000  0.500  0.10
F  0.000  0.500  0.000  0.01
F  0.500  0.000  0.000  0.01

Calculated values
The crystal system is tetragonal. The value obtained for the magnetic moment is 2.0 μB per cell. Its volume is 69 Å³/cell.

---

Run two
Density functional theory data (PBE) for ScRhOF2 after structural relaxation.

a b c (Å): 4.169 4.169 4.021
angles (deg): 90.00 90.00 90.00
Positions (direct):
Sc  0.500  0.500  0.500
Rh  0.000  0.000  0.000
O  0.000  0.000  0.500
F  0.000  0.500  0.000
F  0.500  0.000  0.000

Calculated values
The crystal system is tetragonal. The value obtained for the magnetic moment is 0.0 μB per cell. Its volume is 70 Å³/cell.

---

Last place for stability: run two

---

Run one
Density functional theory data (PBE) for SnRhOF2 after structural relaxation.

a b c (Å): 4.413 4.413 3.854
angles (deg): 90.00 90.00 90.00
Positions (direct):
Rh  0.000  0.000  0.000
Sn  0.500  0.500  0.500
O  0.000  0.000  0.500
F  0.000  0.500  0.000
F  0.500  0.000  0.000

Calculated values
The crystal system is tetragonal. The value obtained for the magnetic moment is 0.0 μB per cell. Its volume is 75 Å³/cell.

---

Run two
Density functional theory data (PBE) for SnRhOF2 after structural relaxation.

a b c (Å): 4.367 4.367 4.113
angles (deg): 90.00 90.00 90.00
Site moments in Bohr magnetons follow the coordinates.
Positions (direct):
Rh  0.500  0.500  0.500  1.53
Sn  0.000  0.000  0.000  -0.01
O  0.000  0.000  0.500  0.05
F  0.000  0.500  0.000  0.00
F  0.500  0.000  0.000  0.00

Calculated values
The crystal system is tetragonal. The value obtained for the magnetic moment is 1.7 μB per cell. Its volume is 78 Å³/cell.

---

Last place for stability: run two

---

Run one
Density functional theory data (PBE) for TaRhOF2 after structural relaxation.

a b c (Å): 4.154 4.154 3.919
angles (deg): 90.00 90.00 90.00
Positions (direct):
F  0.000  0.500  0.000
F  0.500  0.000  0.000
Rh  0.500  0.500  0.500
O  0.000  0.000  0.500
Ta  0.000  0.000  0.000

Calculated values
The crystal system is tetragonal. The value obtained for the magnetic moment is 0.0 μB per cell. Its volume is 68 Å³/cell.

---

Run two
Density functional theory data (PBE) for TaRhOF2 after structural relaxation.

a b c (Å): 3.894 4.975 3.894
angles (deg): 90.00 90.00 90.00
Positions (direct):
F  0.000  0.000  0.500
F  0.500  0.000  0.000
Rh  0.000  0.500  0.000
O  0.500  0.500  0.500
Ta  0.000  0.000  0.000

Calculated values
The crystal system is tetragonal. The value obtained for the magnetic moment is 0.0 μB per cell. Its volume is 75 Å³/cell.

---

Last place for stability: run two